1.
## LiErSc2Se4 (PBE)

Data for an optimized crystal structure of LiErSc2Se4.

The crystal system is monoclinic. For the volume, the calculation gives 170.7 Å³ per cell. The calculation puts the theoretical density at 5.64 g cm⁻³. The value obtained for the electronic total energy is -5.79 eV per atom. As for the total magnetic moment: 0.0 μB per formula unit.

The structure belongs to space group P2/m (No. 10); the cell edges are 6.760, 3.905 and 6.840 Å and the angles 90.00°, 109.06° and 90.00°. The asymmetric unit holds Li at (0.000, 0.000, 0.000), Er at (0.500, 0.500, 0.000), Sc at (0.000, 0.500, 0.500), Sc at (0.500, 0.000, 0.500), Se at (0.241, 0.000, 0.744) and Se at (0.247, 0.500, 0.255).

***

2.
## MgCdB2 (PBE)

Data for an optimized crystal structure of MgCdB2.

The crystal system is cubic. For the volume, the calculation gives 217.1 Å³ per cell. The calculation puts the theoretical density at 4.84 g cm⁻³. The value obtained for the electronic total energy is -2.82 eV per atom. As for the energy of formation: 26.419 kcal/mol of atoms. As for the total magnetic moment: 0.0 μB per formula unit.

The structure belongs to space group Fm-3m (No. 225); the cell edges are 6.010, 6.010 and 6.010 Å and the angles 90.00°, 90.00° and 90.00°. The asymmetric unit holds Mg at (0.000, 0.000, 0.000), Cd at (0.000, 0.000, 0.500) and B at (0.250, 0.250, 0.250).

***

3.
## SrSi2Se (PBE)

Data for an optimized crystal structure of SrSi2Se.

The crystal system is tetragonal. For the volume, the calculation gives 104.9 Å³ per cell. The calculation puts the theoretical density at 3.52 g cm⁻³. The value obtained for the electronic total energy is -4.28 eV per atom. As for the total magnetic moment: 0.0 μB per formula unit.

The structure belongs to space group P4mm (No. 99); the cell edges are 3.742, 3.742 and 7.493 Å and the angles 90.00°, 90.00° and 90.00°. The asymmetric unit holds Sr at (0.000, 0.000, 0.000), Si at (0.000, 0.000, 0.572), Si at (0.500, 0.500, 0.502) and Se at (0.500, 0.500, 0.174).